(1)
Material: PmSi2TcMo
Method: DFT, PBE
State: relaxed

Symmetry: I-4m2
E_form (uncorrected), eV/atom: -0.528

Lattice parameters (Å, degrees): 4.0595 4.0595 6.1523 109.26 109.26 90.00
Atoms (fractional coordinates):
Tc (0.7500, 0.2500, 0.5000)
Pm (0.0000, 0.0000, 0.0000)
Mo (0.2500, 0.7500, 0.5000)
Si (0.3848, 0.3848, 0.7697)
Si (0.6152, 0.6152, 0.2303)


(2)
Material: TlCrTe2
Method: DFT, PBE
State: relaxed

Symmetry: P4/mmm
E_form (uncorrected), eV/atom: 0.242

Lattice parameters (Å, degrees): 5.8636 5.8636 3.2399 90.00 90.00 90.00
Atoms (fractional coordinates):
Te (0.5000, 0.5000, 0.0000)
Te (0.0000, 0.0000, 0.0000)
Tl (0.5000, 0.0000, 0.5000)
Cr (0.0000, 0.5000, 0.5000)


(3)
Material: PmGeMo
Method: DFT, PBE
State: relaxed

DFT formation energy, eV/atom: 0.10
Symmetry: R3

Lattice parameters (Å, degrees): 7.8540 7.8540 6.2140 50.81 50.81 60.00
Atoms (fractional coordinates):
Mo (0.2090, 0.2090, 0.3731)
Mo (0.3984, 0.3984, 0.8049)
Mo (0.5778, 0.5778, 0.2666)
Pm (0.7873, 0.3847, 0.8006)
Pm (0.0273, 0.7873, 0.8006)
Pm (0.3847, 0.0273, 0.8006)
Ge (0.2790, 0.5503, 0.2357)
Ge (0.5503, 0.9350, 0.2357)
Ge (0.9350, 0.2790, 0.2357)


(4)
Material: Pu2BeCrN5
Method: DFT, PBE
State: relaxed

Symmetry: Cmc2_1
E_form (uncorrected), eV/atom: -0.797

Lattice parameters (Å, degrees): 3.1559 6.5953 9.3035 90.00 90.00 103.84
Atoms (fractional coordinates):
Pu (0.8695, 0.7390, 0.8096)
Pu (0.1305, 0.2610, 0.3096)
Pu (0.1211, 0.2422, 0.6965)
Pu (0.8789, 0.7578, 0.1965)
N (0.9527, 0.9054, 0.5246)
N (0.6416, 0.2833, 0.5094)
N (0.3009, 0.6018, 0.3655)
N (0.4975, 0.9950, 0.7818)
N (0.3584, 0.7167, 0.0094)
N (0.5025, 0.0050, 0.2818)
N (0.0473, 0.0946, 0.0246)
N (0.2958, 0.5916, 0.6509)
N (0.6991, 0.3982, 0.8655)
N (0.7042, 0.4084, 0.1509)
Be (0.4863, 0.9726, 0.4774)
Be (0.5137, 0.0274, 0.9774)
Cr (0.2023, 0.4046, 0.0083)
Cr (0.7977, 0.5954, 0.5083)


(5)
Material: K4RbCd2
Method: DFT, PBE
State: relaxed

Relative energy among the computed polymorphs, eV/atom: 0.179
DFT formation energy, eV/atom: 0.19
Symmetry: I4/mmm

Lattice parameters (Å, degrees): 7.2339 7.2339 10.5521 69.95 69.95 90.00
Atoms (fractional coordinates):
Cd (0.4223, 0.4223, 0.1554)
Cd (0.5777, 0.5777, 0.8446)
Rb (0.0000, 0.0000, 0.0000)
K (0.5000, 0.0000, 0.0000)
K (0.2354, 0.2354, 0.5292)
K (0.0000, 0.5000, 0.0000)
K (0.7646, 0.7646, 0.4708)


(6)
Material: MnAl2TeN
Method: DFT, PBE
State: relaxed

Symmetry: P4/mmm
E_form (uncorrected), eV/atom: 0.239

Lattice parameters (Å, degrees): 5.0102 3.5512 5.0102 90.00 90.00 90.00
Atoms (fractional coordinates):
Te (0.5000, 0.5000, 0.5000)
Al (0.5000, 0.0000, 0.0000)
Al (0.0000, 0.0000, 0.5000)
Mn (0.0000, 0.0000, 0.0000)
N (0.0000, 0.5000, 0.0000)


(7)
Material: Li2PuCu2S4
Method: DFT, PBE
State: relaxed

Symmetry: C2/m
E_form (uncorrected), eV/atom: -0.988

Lattice parameters (Å, degrees): 3.7769 7.3732 7.3281 121.43 104.93 90.00
Atoms (fractional coordinates):
S (0.5143, 0.2743, 0.0287)
S (0.2256, 0.2068, 0.4513)
S (0.4857, 0.7257, 0.9713)
S (0.7744, 0.7932, 0.5487)
Cu (0.3238, 0.0302, 0.6475)
Cu (0.6762, 0.9698, 0.3525)
Li (0.8575, 0.4462, 0.7151)
Li (0.1425, 0.5538, 0.2849)
Pu (0.0000, 0.0000, 0.0000)


(8)
Material: NbPbIO2
Method: DFT, PBE
State: relaxed

Relative energy among the computed polymorphs, eV/atom: 0.000
Symmetry: P4/mmm
E_form (uncorrected), eV/atom: -0.799

Lattice parameters (Å, degrees): 4.2300 4.2300 5.8044 90.00 90.00 90.00
Atoms (fractional coordinates):
O (0.5000, 0.0000, 0.0000)
O (0.0000, 0.5000, 0.0000)
I (0.0000, 0.0000, 0.5000)
Nb (0.0000, 0.0000, 0.0000)
Pb (0.5000, 0.5000, 0.5000)


no.,total energy (eV per atom),calculated density (g/cm3)
1,-7.8867,7.3
2,-4.3260,7.6
3,-6.6365,6.9
4,-10.0902,10.9
5,-0.8340,1.6
6,-5.3854,4.7
7,-5.7501,5.1
8,-5.8476,7.3